<w>
Computed, not measured: crystalline AlIn2Br at its relaxed geometry at the PBEsol level of DFT.

Unit cell a=3.4525 b=3.4525 c=8.0711 alpha=90.00 beta=90.00 gamma=95.21
With the nearest neighbours (Å) after each atom.
Positions (direct):
Al (0.0000, 0.0000, 0.0000)  8 In 2.98-3.15
In (0.5000, 0.5000, 0.2302)  4 Al 2.98-3.15, 2 Br 3.19
In (0.5000, 0.5000, 0.7698)  4 Al 2.98-3.15, 2 Br 3.19
Br (0.0000, 0.0000, 0.5000)  8 In 3.19-3.35, 4 Br 3.45

Results
DOS(E_F)	0.47	states/eV per atom
magnetization	0.000	μB per formula unit

***

<x>
Computed, not measured: crystalline AlIn2Br at its relaxed geometry at the PBEsol level of DFT.

Unit cell a=6.1128 b=6.1128 c=6.1128 alpha=147.87 beta=126.76 gamma=63.56
With the nearest neighbours (Å) after each atom.
Positions (direct):
Al (0.0000, 0.0000, 0.0000)  2 Br 2.80, 2 In 2.95
In (0.5013, 0.5013, 0.0000)  4 Al 3.22, 4 In 3.24-3.38, 4 Br 3.43-3.52
In (0.7677, 0.2677, 0.5000)  2 Al 2.95, 2 In 3.24, 4 Br 3.27
Br (0.2143, 0.7143, 0.5000)  2 Al 2.80

Results
DOS(E_F)	0.53	states/eV per atom
magnetization	0.001	μB per formula unit

***

On energetic grounds, <x> is preferred over the next structure by 10 meV/atom.

***

<w>
Computed, not measured: crystalline AlIrBr2 at its relaxed geometry at the PBEsol level of DFT.

Unit cell a=8.3806 b=8.3806 c=8.3806 alpha=25.02 beta=25.02 gamma=25.02
With the nearest neighbours (Å) after each atom.
Positions (direct):
Al (0.0000, 0.0000, 0.0000)  6 Br 3.37, 6 Al 3.63
Ir (0.5000, 0.5000, 0.5000)  6 Br 2.53
Br (0.2251, 0.2251, 0.2251)  3 Ir 2.53
Br (0.7749, 0.7749, 0.7749)  3 Ir 2.53

Results
DOS(E_F)	0.68	states/eV per atom
magnetization	0.000	μB per formula unit

***

<x>
Computed, not measured: crystalline AlIrBr2 at its relaxed geometry at the PBEsol level of DFT.

Unit cell a=4.6809 b=4.6809 c=4.6809 alpha=60.00 beta=60.00 gamma=60.00
With the nearest neighbours (Å) after each atom.
Positions (direct):
Al (0.0000, 0.0000, 0.0000)  8 Br 2.87
Ir (0.5000, 0.5000, 0.5000)  8 Br 2.87
Br (0.2500, 0.2500, 0.2500)  4 Ir 2.87, 4 Al 2.87
Br (0.7500, 0.7500, 0.7500)  4 Al 2.87, 4 Ir 2.87

Results
DOS(E_F)	1.21	states/eV per atom
magnetization	0.663	μB per formula unit

***

<y>
Computed, not measured: crystalline AlIrBr2 at its relaxed geometry at the PBEsol level of DFT.

Unit cell a=4.7995 b=4.7995 c=3.1668 alpha=90.00 beta=90.00 gamma=90.00
With the nearest neighbours (Å) after each atom.
Positions (direct):
Al (0.0000, 0.0000, 0.0000)  8 Br 2.88, 2 Al 3.17
Ir (0.5000, 0.5000, 0.0000)  8 Br 2.88, 2 Ir 3.17
Br (0.0000, 0.5000, 0.5000)  4 Al 2.88, 4 Ir 2.88, 2 Br 3.17
Br (0.5000, 0.0000, 0.5000)  4 Al 2.88, 4 Ir 2.88, 2 Br 3.17

Results
DOS(E_F)	0.79	states/eV per atom
magnetization	0.000	μB per formula unit

***

On energetic grounds, <w> is preferred over the next structure by 160 meV/atom.

***

<w>
Computed, not measured: crystalline AlIr2Br at its relaxed geometry at the PBEsol level of DFT.

Unit cell a=2.8940 b=2.8940 c=7.6511 alpha=90.00 beta=90.00 gamma=90.00
With the nearest neighbours (Å) after each atom.
Positions (direct):
Al (0.0000, 0.0000, 0.0000)  4 Ir 2.54
Ir (0.0000, 0.0000, 0.5605)  8 Ir 2.76-2.89, 4 Br 2.82
Ir (0.5000, 0.5000, 0.8035)  4 Al 2.54, 4 Ir 2.76
Br (0.5000, 0.5000, 0.3073)  4 Ir 2.82, 4 Br 2.89, 4 Al 3.12

Results
DOS(E_F)	1.30	states/eV per atom
magnetization	0.002	μB per formula unit

***

<x>
Computed, not measured: crystalline AlIr2Br at its relaxed geometry at the PBEsol level of DFT.

Unit cell a=2.9568 b=2.9568 c=7.0548 alpha=90.00 beta=90.00 gamma=90.00
With the nearest neighbours (Å) after each atom.
Positions (direct):
Al (0.0000, 0.0000, 0.0000)  8 Ir 2.55
Ir (0.5000, 0.5000, 0.2073)  4 Al 2.55
Ir (0.5000, 0.5000, 0.7927)  4 Al 2.55
Br (0.0000, 0.0000, 0.5000)  8 Ir 2.94, 4 Br 2.96

Results
DOS(E_F)	0.81	states/eV per atom
magnetization	0.000	μB per formula unit

***

<y>
Computed, not measured: crystalline AlIr2Br at its relaxed geometry at the PBEsol level of DFT.

Unit cell a=2.7444 b=2.7444 c=10.1071 alpha=90.00 beta=90.00 gamma=117.47
With the nearest neighbours (Å) after each atom.
Positions (direct):
Al (0.0000, 0.0000, 0.0000)  4 Ir 2.43
Ir (0.5000, 0.5000, 0.1942)  2 Al 2.43
Ir (0.5000, 0.5000, 0.8058)  2 Al 2.43
Br (0.0000, 0.0000, 0.5000)  6 Br 2.74-2.85

Results
DOS(E_F)	0.69	states/eV per atom
magnetization	0.000	μB per formula unit

***

On energetic grounds, <x> is preferred over the next structure by 31 meV/atom.

***

<w>
Computed, not measured: crystalline Li2AlBr at its relaxed geometry at the PBEsol level of DFT.

Unit cell a=3.5977 b=3.8612 c=6.0014 alpha=90.00 beta=90.00 gamma=90.00
With the nearest neighbours (Å) after each atom.
Positions (direct):
Li (0.0000, 0.0000, 0.0000)  4 Br 2.64
Li (0.5000, 0.0000, 0.5000)  4 Al 2.64
Al (0.0000, 0.5000, 0.5000)  4 Li 2.64
Br (0.5000, 0.5000, 0.0000)  4 Li 2.64

Results
DOS(E_F)	0.23	states/eV per atom
magnetization	0.000	μB per formula unit

***

<x>
Computed, not measured: crystalline Li2AlBr at its relaxed geometry at the PBEsol level of DFT.

Unit cell a=3.4105 b=3.4105 c=7.6663 alpha=90.00 beta=90.00 gamma=90.00
With the nearest neighbours (Å) after each atom.
Positions (direct):
Li (0.0000, 0.0000, 0.0000)  4 Br 2.49
Li (0.5000, 0.5000, 0.2545)  1 Br 2.57, 4 Al 2.77
Al (0.0000, 0.0000, 0.4332)  4 Li 2.77
Br (0.5000, 0.5000, 0.9193)  5 Li 2.49-2.57

Results
DOS(E_F)	0.35	states/eV per atom
magnetization	0.001	μB per formula unit

***

On energetic grounds, <x> is preferred over the next structure by 57 meV/atom.

***

<w>
Computed, not measured: crystalline Mg2AlBr at its relaxed geometry at the PBEsol level of DFT.

Unit cell a=5.3830 b=5.3830 c=5.3830 alpha=129.38 beta=129.38 gamma=74.40
With the nearest neighbours (Å) after each atom.
Positions (direct):
Mg (0.2500, 0.7500, 0.5000)  4 Br 3.15, 4 Al 3.15, 4 Mg 3.25
Mg (0.7500, 0.2500, 0.5000)  4 Br 3.15, 4 Al 3.15, 4 Mg 3.25
Al (0.0000, 0.0000, 0.0000)  8 Mg 3.15, 4 Br 3.25
Br (0.5000, 0.5000, 0.0000)  8 Mg 3.15, 4 Al 3.25

Results
DOS(E_F)	0.63	states/eV per atom
magnetization	0.000	μB per formula unit

***

<x>
Computed, not measured: crystalline Mg2AlBr at its relaxed geometry at the PBEsol level of DFT.

Unit cell a=5.8461 b=5.8461 c=4.9715 alpha=90.80 beta=90.80 gamma=32.09
With the nearest neighbours (Å) after each atom.
Positions (direct):
Mg (0.0000, 0.0000, 0.0000)  4 Br 2.92-3.01, 3 Al 2.99-3.09, 2 Mg 3.23
Mg (0.7431, 0.7431, 0.4795)  1 Br 2.68, 4 Al 2.97-2.98
Al (0.2660, 0.2660, 0.9799)  7 Mg 2.97-3.09, 2 Al 3.23
Br (0.5049, 0.5049, 0.4894)  3 Mg 2.68-2.92

Results
DOS(E_F)	0.31	states/eV per atom
magnetization	0.000	μB per formula unit

***

<y>
Computed, not measured: crystalline Mg2AlBr at its relaxed geometry at the PBEsol level of DFT.

Unit cell a=5.1647 b=5.1647 c=5.1647 alpha=60.00 beta=60.00 gamma=60.00
With the nearest neighbours (Å) after each atom.
Positions (direct):
Mg (0.0000, 0.0000, 0.0000)  4 Al 3.16, 4 Mg 3.16
Mg (0.2500, 0.2500, 0.2500)  4 Br 3.16, 4 Mg 3.16
Al (0.7500, 0.7500, 0.7500)  4 Br 3.16, 4 Mg 3.16
Br (0.5000, 0.5000, 0.5000)  4 Mg 3.16, 4 Al 3.16

Results
DOS(E_F)	0.41	states/eV per atom
magnetization	0.000	μB per formula unit

***

<z>
Computed, not measured: crystalline Mg2AlBr at its relaxed geometry at the PBEsol level of DFT.

Unit cell a=8.2190 b=8.2190 c=8.2190 alpha=25.30 beta=25.30 gamma=25.30
With the nearest neighbours (Å) after each atom.
Positions (direct):
Mg (0.2468, 0.2468, 0.2468)  3 Al 2.82, 3 Br 2.93
Mg (0.7532, 0.7532, 0.7532)  3 Al 2.82, 3 Br 2.93
Al (0.5000, 0.5000, 0.5000)  6 Mg 2.82
Br (0.0000, 0.0000, 0.0000)  6 Mg 2.93

Results
DOS(E_F)	0.28	states/eV per atom
magnetization	0.000	μB per formula unit

***

On energetic grounds, <z> is preferred over the next structure by 113 meV/atom.

***

<w>
Computed, not measured: crystalline Mn2AlBr at its relaxed geometry at the PBEsol level of DFT.

Unit cell a=4.5753 b=4.5753 c=4.5753 alpha=125.99 beta=125.99 gamma=79.90
With the nearest neighbours (Å) after each atom.
Positions (direct):
Mn (0.2500, 0.7500, 0.5000)  4 Br 2.72, 4 Al 2.72, 4 Mn 2.94
Mn (0.7500, 0.2500, 0.5000)  4 Br 2.72, 4 Al 2.72, 4 Mn 2.94
Al (0.0000, 0.0000, 0.0000)  8 Mn 2.72, 4 Br 2.94
Br (0.5000, 0.5000, 0.0000)  8 Mn 2.72, 4 Al 2.94

Results
DOS(E_F)	0.64	states/eV per atom
magnetization	5.990	μB per formula unit

***

<x>
Computed, not measured: crystalline Mn2AlBr at its relaxed geometry at the PBEsol level of DFT.

Unit cell a=4.4261 b=4.4261 c=4.4261 alpha=60.00 beta=60.00 gamma=60.00
With the nearest neighbours (Å) after each atom.
Positions (direct):
Mn (0.2500, 0.2500, 0.2500)  4 Br 2.71, 4 Al 2.71
Mn (0.7500, 0.7500, 0.7500)  4 Br 2.71, 4 Al 2.71
Al (0.0000, 0.0000, 0.0000)  8 Mn 2.71
Br (0.5000, 0.5000, 0.5000)  8 Mn 2.71

Results
DOS(E_F)	1.24	states/eV per atom
magnetization	5.961	μB per formula unit

***

<y>
Computed, not measured: crystalline Mn2AlBr at its relaxed geometry at the PBEsol level of DFT.

Unit cell a=3.0207 b=4.2630 c=5.0604 alpha=90.00 beta=90.00 gamma=90.00
With the nearest neighbours (Å) after each atom.
Positions (direct):
Mn (0.0000, 0.0000, 0.0000)  4 Br 2.61
Mn (0.5000, 0.0000, 0.5000)  4 Al 2.61
Al (0.0000, 0.5000, 0.5000)  4 Mn 2.61
Br (0.5000, 0.5000, 0.0000)  4 Mn 2.61

Results
DOS(E_F)	0.59	states/eV per atom
magnetization	6.827	μB per formula unit

***

On energetic grounds, <y> is preferred over the next structure by 98 meV/atom.